Entry 1:
Computed, not measured: a geometry-optimized AcTcMo structure at the PBE level of DFT.

Cell lengths 6.4805, 6.4805, 6.4805 Å; angles 90.00, 90.00, 90.00 degrees
Closest atoms and distances in Å follow each position.
Atoms (fractional coordinates):
Ac (0.0000, 0.0000, 0.0000)  4 Mo 2.81, 4 Tc 2.81
Ac (0.0000, 0.5000, 0.5000)  4 Mo 2.81, 4 Tc 2.81
Ac (0.5000, 0.0000, 0.5000)  4 Mo 2.81, 4 Tc 2.81
Ac (0.5000, 0.5000, 0.0000)  4 Mo 2.81, 4 Tc 2.81
Tc (0.2500, 0.2500, 0.2500)  4 Ac 2.81
Tc (0.2500, 0.7500, 0.7500)  4 Ac 2.81
Tc (0.7500, 0.2500, 0.7500)  4 Ac 2.81
Tc (0.7500, 0.7500, 0.2500)  4 Ac 2.81
Mo (0.2500, 0.2500, 0.7500)  4 Ac 2.81
Mo (0.2500, 0.7500, 0.2500)  4 Ac 2.81
Mo (0.7500, 0.2500, 0.2500)  4 Ac 2.81
Mo (0.7500, 0.7500, 0.7500)  4 Ac 2.81

Results
* ΔE_f: 1.8090 eV per atom
* symmetry: F-43m, No. 216
* total magnetic moment: 0.0 μB/cell
* ρ: 10.3 g/cm³
* polymorph energy (0 for the lowest one): 928 meV/atom

---

Entry 2:
Computed, not measured: a geometry-optimized AcZrMo structure at the PBE level of DFT.

Cell lengths 6.8868, 6.8868, 6.8868 Å; angles 90.00, 90.00, 90.00 degrees
Closest atoms and distances in Å follow each position.
Atoms (fractional coordinates):
Ac (0.0000, 0.0000, 0.0000)  4 Zr 2.98
Ac (0.0000, 0.5000, 0.5000)  4 Zr 2.98
Ac (0.5000, 0.0000, 0.5000)  4 Zr 2.98
Ac (0.5000, 0.5000, 0.0000)  4 Zr 2.98
Zr (0.2500, 0.2500, 0.2500)  4 Mo 2.98, 4 Ac 2.98
Zr (0.2500, 0.7500, 0.7500)  4 Ac 2.98, 4 Mo 2.98
Zr (0.7500, 0.2500, 0.7500)  4 Ac 2.98, 4 Mo 2.98
Zr (0.7500, 0.7500, 0.2500)  4 Ac 2.98, 4 Mo 2.98
Mo (0.0000, 0.0000, 0.5000)  4 Zr 2.98
Mo (0.0000, 0.5000, 0.0000)  4 Zr 2.98
Mo (0.5000, 0.0000, 0.0000)  4 Zr 2.98
Mo (0.5000, 0.5000, 0.5000)  4 Zr 2.98

Results
* ΔE_f: 1.0423 eV per atom
* symmetry: F-43m, No. 216
* total magnetic moment: 2.6 μB/cell
* ρ: 8.4 g/cm³

---

Entry 3:
Computed, not measured: a geometry-optimized AcNbNO structure at the PBE level of DFT.

Cell lengths 4.1729, 4.1729, 9.0302 Å; angles 90.00, 90.00, 90.00 degrees
Closest atoms and distances in Å follow each position.
Atoms (fractional coordinates):
Ac (0.2500, 0.2500, 0.1448)  4 O 2.46
Ac (0.7500, 0.7500, 0.8552)  4 O 2.46
Nb (0.2500, 0.7500, 0.5000)  4 N 2.13
Nb (0.7500, 0.2500, 0.5000)  4 N 2.13
N (0.2500, 0.2500, 0.4508)  4 Nb 2.13
N (0.7500, 0.7500, 0.5492)  4 Nb 2.13
O (0.2500, 0.7500, 0.0000)  4 Ac 2.46
O (0.7500, 0.2500, 0.0000)  4 Ac 2.46

Results
* symmetry: P4/nmm, No. 129
* total magnetic moment: 0.0 μB/cell
* ρ: 7.4 g/cm³
* polymorph energy (0 for the lowest one): 0 meV/atom